Record 1
Computed, not measured: a PBEsol-optimized structure of Na5Ti3F14 at the SCAN level of DFT.

Cell: 7.477 7.477 10.290 Å, 90.00 90.00 90.00°
Space group P4/mnc (No. 128)
Unique sites:
Na: 0.000 0.000 0.000
Na: 0.224 0.276 0.250
Ti: 0.000 0.000 0.500
Ti: 0.000 0.500 0.000
F: 0.000 0.000 0.312
F: 0.037 0.689 0.129
F: 0.078 0.248 0.500

## Properties
- Energy relative to the elements, uncorrected: -3.309 eV per atom

=====

Record 2
Computed, not measured: a PBEsol-optimized structure of Al3GaAu at the SCAN level of DFT.

Cell: 4.736 4.736 4.736 Å, 90.00 90.00 90.00°
Space group Pm-3m (No. 221)
Unique sites:
Al: 0.000 0.000 0.500
Ga: 0.000 0.000 0.000
Au: 0.500 0.500 0.500

## Properties
- Energy relative to the elements: 597 meV/atom
- N(E_F): 2.6 states/eV/f.u.

=====

Number 1: magnetization 3.0 μB per formula unit, mass density 3.03 g cm⁻³. Number 2: magnetization 0.0 μB per formula unit, mass density 5.43 g cm⁻³.